1.
VASP calculation (PBE-GGA) on crystalline RbTh at its relaxed geometry.

Results
* uncorrected energy: -1.47 eV/atom
* total magnetic moment: 1.62 μB/atom

a b c (Å): 8.453 8.453 8.453
angles (deg): 90.00 90.00 90.00
Space group F-43m (No. 216)
Unique sites:
1 Rb 0.000 0.000 0.000 (multiplicity 4)
2 Th 0.250 0.250 0.750 (multiplicity 4)

---

2.
VASP calculation (PBE-GGA) on crystalline BaNd2BeO5 at its relaxed geometry.

Results
* uncorrected energy: -7.49 eV/atom
* total magnetic moment: 0.00 μB/atom

a b c (Å): 7.422 6.673 9.731
angles (deg): 90.00 90.69 90.00
Space group P2_1/c (No. 14)
Unique sites:
1 Ba 0.021 0.082 0.327 (multiplicity 4)
2 Nd 0.256 0.593 0.477 (multiplicity 4)
3 Nd 0.478 0.083 0.324 (multiplicity 4)
4 Be 0.261 0.192 0.597 (multiplicity 4)
5 O 0.068 0.192 0.062 (multiplicity 4)
6 O 0.279 0.130 0.769 (multiplicity 4)
7 O 0.279 0.521 0.010 (multiplicity 4)
8 O 0.284 0.666 0.717 (multiplicity 4)
9 O 0.441 0.181 0.065 (multiplicity 4)

---

3.
VASP calculation (PBE-GGA) on crystalline LaPuGa at its relaxed geometry.

Results
* distance to the lowest polymorph of the same formula: 0 meV per atom
* total magnetic moment: 2.00 μB/atom

a b c (Å): 6.961 6.961 6.961
angles (deg): 90.00 90.00 90.00
Space group F-43m (No. 216)
Unique sites:
1 La 0.000 0.000 0.000 (multiplicity 4)
2 Pu 0.250 0.250 0.750 (multiplicity 4)
3 Ga 0.000 0.000 0.500 (multiplicity 4)

---

4.
VASP calculation (PBE-GGA) on crystalline CsLiReIr at its relaxed geometry.

Results
* distance to the lowest polymorph of the same formula: 0 meV per atom
* total magnetic moment: 0.00 μB/atom

a b c (Å): 6.645 6.645 6.645
angles (deg): 90.00 90.00 90.00
Space group F-43m (No. 216)
Unique sites:
1 Cs 0.000 0.000 0.000 (multiplicity 4)
2 Li 0.250 0.250 0.750 (multiplicity 4)
3 Re 0.250 0.250 0.250 (multiplicity 4)
4 Ir 0.000 0.000 0.500 (multiplicity 4)